DFT (PBE-GGA) results for a relaxed NbZnFeGe crystal.

Cell and atoms, written as extended XYZ:
```
4
Lattice="0.0000 3.0596 3.0596 3.0596 0.0000 3.0596 3.0596 3.0596 0.0000" Properties=species:S:1:pos:R:3 pbc="T T T"
Nb 0.0000 0.0000 0.0000
Zn 1.5298 1.5298 1.5298
Fe 4.5894 4.5894 4.5894
Ge 3.0596 3.0596 3.0596
```

Summary:
Density (g cm⁻³): 8.314
Size of the total moment (μB/f.u.): 0.79
SG: F-43m, No. 216
Raw total energy (eV/atom): -5.96
Offset from the most stable computed form (kJ/mol of formula units): 0